! GGA-PBE Pr6Y3Tm2Th, relaxed; values from VASP
&SYSTEM
  ibrav = 0, nat = 12, ntyp = 4
/
ATOMIC_SPECIES
Pr 140.91 Pr.upf
Y 88.91 Y.upf
Tm 168.93 Tm.upf
Th 232.04 Th.upf
CELL_PARAMETERS angstrom
3.1499 -5.4553 0.0000
3.1499 5.4553 0.0000
-2.1073 0.0000 11.7881
ATOMIC_POSITIONS crystal
Pr 0.0828 0.4129 0.7479
Pr 0.2472 0.2472 0.2528
Pr 0.4129 0.0828 0.7479
Pr 0.5871 0.9172 0.2521
Pr 0.7528 0.7528 0.7472
Pr 0.9172 0.5871 0.2521
Y 0.1667 0.8333 0.0000
Y 0.5000 0.5000 0.0000
Y 0.8333 0.1667 0.0000
Tm 0.3333 0.6667 0.5000
Tm 0.6667 0.3333 0.5000
Th 0.0000 0.0000 0.5000
! M_tot (μB per atom): 0.0000
! Fermi-level density of states (states/eV per atom): 1.328
! Uncorrected energy (eV/cell): -64.04